A relaxed La2Sm2Sb5 crystal, computed with PBE.

Its space group is No. 64. The value obtained for the formation energy without anion corrections is -0.972 eV per atom.

```
La2Sm2Sb5
1.0
8.267 -4.127 0.000
8.267 4.127 0.000
0.000 0.000 8.362
La Sm Sb
4 4 10
Direct
0.189 0.189 0.000
0.311 0.311 0.500
0.689 0.689 0.500
0.811 0.811 0.000
0.160 0.840 0.663
0.340 0.660 0.163
0.660 0.340 0.837
0.840 0.160 0.337
0.000 0.000 0.000
0.002 0.269 0.635
0.231 0.498 0.865
0.269 0.002 0.365
0.498 0.231 0.135
0.500 0.500 0.500
0.502 0.769 0.865
0.731 0.998 0.635
0.769 0.502 0.135
0.998 0.731 0.365
```


A relaxed La2SmSb crystal, computed with PBE.

The energy relative to the lowest polymorph listed for this composition is 24 kJ/mol of formula units. Its space group is No. 123. The value obtained for the formation energy without anion corrections is -0.532 eV per atom.

```
La2SmSb
1.0
4.286 0.000 0.000
0.000 4.286 0.000
0.000 0.000 7.120
La Sm Sb
2 1 1
Direct
0.000 0.000 0.218
0.000 0.000 0.782
0.500 0.500 0.500
0.500 0.500 0.000
```


A relaxed La5SmSb6 crystal, computed with PBE.

Its space group is No. 12. The value obtained for the formation energy without anion corrections is -1.259 eV per atom.

```
La5SmSb6
1.0
3.985 -6.902 0.000
3.985 6.902 0.000
-2.660 0.000 7.514
La Sm Sb
5 1 6
Direct
0.000 0.000 0.000
0.166 0.834 0.500
0.332 0.668 0.000
0.668 0.332 0.000
0.834 0.166 0.500
0.500 0.500 0.500
0.089 0.418 0.253
0.254 0.254 0.748
0.418 0.089 0.253
0.582 0.911 0.747
0.746 0.746 0.252
0.911 0.582 0.747
```


A relaxed La2SmSb crystal, computed with PBE.

The energy relative to the lowest polymorph listed for this composition is 0 kJ/mol of formula units. Its space group is No. 123. The value obtained for the formation energy without anion corrections is -0.593 eV per atom.

```
La2SmSb
1.0
4.923 0.000 0.000
0.000 4.923 0.000
0.000 0.000 5.029
La Sm Sb
2 1 1
Direct
0.000 0.500 0.000
0.500 0.000 0.000
0.000 0.000 0.500
0.500 0.500 0.500
```


A relaxed La3SmSb3 crystal, computed with PBE.

The energy relative to the lowest polymorph listed for this composition is 165 kJ/mol of formula units. Its space group is No. 176. The value obtained for the formation energy without anion corrections is -0.867 eV per atom.

```
La3SmSb3
1.0
9.804 0.000 0.000
-4.902 8.490 0.000
0.000 0.000 6.430
La Sm Sb
6 2 6
Direct
0.062 0.373 0.250
0.311 0.938 0.250
0.373 0.311 0.750
0.627 0.689 0.250
0.689 0.062 0.750
0.938 0.627 0.750
0.333 0.667 0.750
0.667 0.333 0.250
0.041 0.343 0.750
0.303 0.959 0.750
0.343 0.303 0.250
0.657 0.697 0.750
0.697 0.041 0.250
0.959 0.657 0.250
```


A relaxed La3SmSb2 crystal, computed with PBE.

The energy relative to the lowest polymorph listed for this composition is 110 kJ/mol of formula units. Its space group is No. 72. The value obtained for the formation energy without anion corrections is -0.670 eV per atom.

```
La3SmSb2
1.0
-3.671 7.464 4.042
3.671 -7.464 4.042
3.671 7.464 -4.042
La Sm Sb
6 2 4
Direct
0.043 0.750 0.293
0.250 0.250 0.000
0.457 0.750 0.707
0.543 0.250 0.293
0.750 0.750 0.000
0.957 0.250 0.707
0.000 0.500 0.500
0.500 0.000 0.500
0.145 0.177 0.322
0.355 0.677 0.032
0.645 0.323 0.968
0.855 0.823 0.678
```